# 1
# CuNi2Ag PBE optimized geometry
data_CuNi2Ag
_chemical_formula_sum 'Cu1 Ni2 Ag1'
_cell_length_a 3.689
_cell_length_b 3.689
_cell_length_c 3.774
_cell_angle_alpha 90.00
_cell_angle_beta 90.00
_cell_angle_gamma 90.00
_symmetry_space_group_name_H-M 'P 4/m m m'
_symmetry_Int_Tables_number 123
_symmetry_space_group_name_Hall '-P 4 2'
loop_
_atom_site_label
_atom_site_type_symbol
_atom_site_fract_x
_atom_site_fract_y
_atom_site_fract_z
Cu1 Cu 0.000 0.000 0.000
Ni1 Ni 0.000 0.500 0.500
Ag1 Ag 0.500 0.500 0.000
# DFT total energy = -17.617 eV/cell



# 2
# Cu4NiAg PBE optimized geometry
data_Cu4NiAg
_chemical_formula_sum 'Cu16 Ni4 Ag4'
_cell_length_a 6.795
_cell_length_b 6.795
_cell_length_c 6.795
_cell_angle_alpha 90.00
_cell_angle_beta 90.00
_cell_angle_gamma 90.00
_symmetry_space_group_name_H-M 'F -4 3 m'
_symmetry_Int_Tables_number 216
_symmetry_space_group_name_Hall 'F -4 2 3'
loop_
_atom_site_label
_atom_site_type_symbol
_atom_site_fract_x
_atom_site_fract_y
_atom_site_fract_z
Cu1 Cu 0.125 0.125 0.125
Ni1 Ni 0.000 0.000 0.500
Ag1 Ag 0.250 0.250 0.750
# DFT total energy = -96.157 eV/cell



# 3
# CuNiAg PBE optimized geometry
data_CuNiAg
_chemical_formula_sum 'Cu1 Ni1 Ag1'
_cell_length_a 2.7050
_cell_length_b 2.7050
_cell_length_c 6.4729
_cell_angle_alpha 90.00
_cell_angle_beta 90.00
_cell_angle_gamma 120.00
_symmetry_space_group_name_H-M 'P 3 m 1'
_symmetry_Int_Tables_number 156
loop_
_symmetry_equiv_pos_as_xyz
'x,y,z'
'-y,x-y,z'
'-x+y,-x,z'
'-y,-x,z'
'-x+y,y,z'
'x,x-y,z'
loop_
_atom_site_label
_atom_site_type_symbol
_atom_site_fract_x
_atom_site_fract_y
_atom_site_fract_z
Cu1 Cu 0.0000 0.0000 0.0000
Ni1 Ni 0.3333 0.6667 0.3003
Ag1 Ag 0.6667 0.3333 0.6468
# relative energy among the computed polymorphs = 0.07 eV/f.u.



# 4
# CuNi2Ag PBE optimized geometry
data_CuNi2Ag
_chemical_formula_sum 'Cu1 Ni2 Ag1'
_cell_length_a 2.679
_cell_length_b 2.679
_cell_length_c 7.171
_cell_angle_alpha 90.00
_cell_angle_beta 90.00
_cell_angle_gamma 90.00
_symmetry_space_group_name_H-M 'P 4/m m m'
_symmetry_Int_Tables_number 123
_symmetry_space_group_name_Hall '-P 4 2'
loop_
_atom_site_label
_atom_site_type_symbol
_atom_site_fract_x
_atom_site_fract_y
_atom_site_fract_z
Cu1 Cu 0.000 0.000 0.000
Ni1 Ni 0.500 0.500 0.225
Ag1 Ag 0.000 0.000 0.500
# DFT total energy = -17.705 eV/cell



# 5
# CuNi2Ag PBE optimized geometry
data_CuNi2Ag
_chemical_formula_sum 'Cu2 Ni4 Ag2'
_cell_length_a 8.566
_cell_length_b 2.652
_cell_length_c 4.633
_cell_angle_alpha 90.00
_cell_angle_beta 100.57
_cell_angle_gamma 90.00
_symmetry_space_group_name_H-M 'C 1 m 1'
_symmetry_Int_Tables_number 8
loop_
_symmetry_equiv_pos_as_xyz
'x,y,z'
'x,-y,z'
'x+1/2,y+1/2,z'
'x+1/2,-y+1/2,z'
loop_
_atom_site_label
_atom_site_type_symbol
_atom_site_fract_x
_atom_site_fract_y
_atom_site_fract_z
Cu1 Cu 0.000 0.000 0.000
Ni1 Ni 0.015 0.500 0.545
Ni2 Ni 0.254 0.000 0.756
Ag1 Ag 0.258 0.500 0.263
# DFT total energy = -35.462 eV/cell



# 6
# CuNi2Ag PBE optimized geometry
data_CuNi2Ag
_chemical_formula_sum 'Cu4 Ni8 Ag4'
_cell_length_a 5.917
_cell_length_b 5.917
_cell_length_c 5.917
_cell_angle_alpha 90.00
_cell_angle_beta 90.00
_cell_angle_gamma 90.00
_symmetry_space_group_name_H-M 'F -4 3 m'
_symmetry_Int_Tables_number 216
_symmetry_space_group_name_Hall 'F -4 2 3'
loop_
_atom_site_label
_atom_site_type_symbol
_atom_site_fract_x
_atom_site_fract_y
_atom_site_fract_z
Cu1 Cu 0.000 0.000 0.000
Ni1 Ni 0.000 0.000 0.500
Ni2 Ni 0.250 0.250 0.750
Ag1 Ag 0.250 0.250 0.250
# DFT total energy = -70.016 eV/cell